Entry 1:
VASP calculation (PBE-GGA) on a relaxed Nd3TePbBr crystal.

As for the calculated total energy: -4.7546 eV per atom. The value obtained for the uncorrected formation energy is -5.70 eV per formula unit. The space-group type is P2_1/m, No. 11. As for the calculated density: 6.58 g/cm3.

Geometry as POSCAR:
```
Nd3TePbBr
1.0
-3.267 -2.863 0.227
5.532 -5.945 4.657
-3.217 4.383 8.997
Te Pb Br Nd
2 2 2 6
Cartesian
-0.663 -0.726 2.146
-0.288 -3.699 11.735
2.186 -3.811 4.246
-3.138 -0.613 9.635
-1.913 0.991 5.814
0.961 -5.416 8.067
-2.893 2.312 8.370
-0.887 -3.679 3.368
1.381 -2.673 7.009
-2.333 -1.751 6.872
1.942 -6.737 5.511
-0.065 -0.746 10.513
```

---

Entry 2:
VASP calculation (PBE-GGA) on a relaxed NdTlPb2Br8 crystal.

As for the calculated total energy: -3.5377 eV per atom. The value obtained for the uncorrected formation energy is -14.52 eV per formula unit. The space-group type is P2/m, No. 10. As for the calculated density: 4.91 g/cm3.

Geometry as POSCAR:
```
NdTlPb2Br8
1.0
-5.414 -3.313 3.662
2.260 -6.220 -2.114
5.444 -0.582 7.526
Tl Br Nd Pb
1 8 1 2
Cartesian
2.722 -0.291 3.763
0.937 -6.939 4.541
-1.206 -2.604 0.672
1.352 -3.176 4.532
0.222 -4.752 8.419
3.495 -7.511 8.401
2.068 -5.363 0.654
-2.796 -4.427 4.245
5.086 -5.687 4.828
0.000 0.000 0.000
-0.197 -4.914 2.681
2.487 -5.201 6.393
```

---

Entry 3:
VASP calculation (PBE-GGA) on a relaxed Nd4Pd2Br3 crystal.

As for the calculated total energy: -4.9967 eV per atom. The value obtained for the uncorrected formation energy is -10.49 eV per formula unit. The space-group type is C2/m, No. 12. As for the calculated density: 5.97 g/cm3.

Geometry as POSCAR:
```
Nd4Pd2Br3
1.0
4.167 0.000 0.004
-2.083 3.608 -0.004
-0.003 0.002 19.049
Nd Br Pd
4 3 2
Cartesian
2.081 1.204 2.319
4.161 0.004 5.638
-2.081 3.607 13.411
-0.001 2.406 16.730
0.000 0.000 0.000
0.005 2.403 11.493
2.075 1.207 7.557
2.084 1.202 15.162
-0.004 2.408 3.887
```

---

Entry 4:
VASP calculation (PBE-GGA) on a relaxed Nd4PdBr5 crystal.

As for the calculated total energy: -4.6798 eV per atom. The value obtained for the uncorrected formation energy is -14.17 eV per formula unit. The space-group type is C2/m, No. 12. As for the calculated density: 5.37 g/cm3.

Geometry as POSCAR:
```
Nd4PdBr5
1.0
-0.048 -3.954 -1.034
2.260 -2.193 8.286
-9.460 2.021 0.788
Br Nd Pd
5 4 1
Cartesian
-5.870 -2.316 1.050
-4.822 -3.404 5.164
-2.426 -0.722 2.876
1.106 -3.074 3.626
-1.378 -1.810 6.991
-7.714 -3.637 6.189
-2.815 -2.144 0.252
-4.433 -1.982 7.789
0.466 -0.490 1.851
-0.024 -1.977 -0.517
```

---

Entry 5:
VASP calculation (PBE-GGA) on a relaxed Nd2PdBr crystal.

As for the calculated total energy: -5.0118 eV per atom. The value obtained for the uncorrected formation energy is -3.65 eV per formula unit. The calculation puts the energy relative to the lowest polymorph listed for this composition at 0.063 eV/atom. The space-group type is Pmmn, No. 59. As for the calculated density: 6.62 g/cm3.

Geometry as POSCAR:
```
Nd2PdBr
1.0
3.889 0.000 0.000
0.000 7.564 0.000
0.000 0.000 8.104
Pd Nd Br
2 4 2
Cartesian
0.972 5.673 7.570
2.916 1.891 0.534
2.916 7.524 6.428
0.972 0.040 1.676
2.916 3.822 6.428
0.972 3.742 1.676
0.972 1.891 4.547
2.916 5.673 3.557
```

---

Entry 6:
VASP calculation (PBE-GGA) on a relaxed Nd2PdBr crystal.

As for the calculated total energy: -4.9592 eV per atom. The value obtained for the uncorrected formation energy is -3.44 eV per formula unit. The calculation puts the energy relative to the lowest polymorph listed for this composition at 0.115 eV/atom. The space-group type is P4/mmm, No. 123. As for the calculated density: 7.61 g/cm3.

Geometry as POSCAR:
```
Nd2PdBr
1.0
-1.614 -0.678 3.056
-2.589 -1.643 -1.732
4.170 -7.210 0.603
Nd Pd Br
2 1 1
Cartesian
3.250 -5.620 0.470
0.920 -1.591 0.133
-2.101 -1.160 0.662
-0.016 -4.765 0.964
```

---

Entry 7:
VASP calculation (PBE-GGA) on a relaxed Nd2PdBr2 crystal.

As for the calculated total energy: -4.9147 eV per atom. The value obtained for the uncorrected formation energy is -6.50 eV per formula unit. The space-group type is R-3m, No. 166. As for the calculated density: 5.54 g/cm3.

Geometry as POSCAR:
```
Nd2PdBr2
1.0
4.072 0.000 0.753
1.966 3.566 0.753
-0.010 -0.006 11.439
Br Nd Pd
2 2 1
Cartesian
4.679 2.763 8.859
1.350 0.797 4.086
2.313 1.366 10.263
3.715 2.194 2.682
0.000 0.000 0.000
```

---

Entry 8:
VASP calculation (PBE-GGA) on a relaxed Nd2PdBr crystal.

As for the calculated total energy: -5.0746 eV per atom. The value obtained for the uncorrected formation energy is -3.90 eV per formula unit. The calculation puts the energy relative to the lowest polymorph listed for this composition at 0.000 eV/atom. The space-group type is R3m, No. 160. As for the calculated density: 6.60 g/cm3.

Geometry as POSCAR:
```
Nd2PdBr
1.0
-1.598 2.945 2.502
-3.484 -0.773 2.179
2.656 -2.003 7.548
Nd Pd Br
2 1 1
Cartesian
1.779 -1.453 6.342
-0.826 0.180 2.755
-0.741 -0.549 10.657
-1.196 0.074 6.137
```

---

Entry 9:
VASP calculation (PBE-GGA) on a relaxed Nd3PdBr3 crystal.

As for the calculated total energy: -4.8216 eV per atom. The value obtained for the uncorrected formation energy is -9.24 eV per formula unit. The space-group type is I4_132, No. 214. As for the calculated density: 5.79 g/cm3.

Geometry as POSCAR:
```
Nd3PdBr3
1.0
9.906 0.000 -3.502
-4.953 8.579 -3.502
0.000 0.000 10.507
Nd Br Pd
12 12 4
Cartesian
7.495 0.114 -2.441
8.602 2.031 0.690
4.953 0.228 0.876
2.411 0.114 4.192
5.994 2.259 4.378
6.060 6.434 -5.943
2.674 4.176 4.378
4.953 4.062 0.876
1.304 2.031 1.061
3.912 2.259 -2.627
3.846 6.434 -2.813
7.233 4.176 -2.627
-1.159 6.389 -0.876
-1.185 2.145 9.557
2.503 8.533 -0.801
-2.503 8.533 6.054
1.185 2.145 6.204
0.000 4.381 2.627
1.159 6.389 6.129
-3.688 6.480 2.702
0.000 8.488 2.627
2.397 4.335 -0.876
3.688 6.480 2.552
-2.397 4.335 6.129
4.953 4.290 -4.378
6.191 2.145 -0.876
3.715 2.145 2.627
0.000 0.000 2.627
```

---

Entry 10:
VASP calculation (PBE-GGA) on a relaxed Nd2PdBr crystal.

As for the calculated total energy: -4.5299 eV per atom. The value obtained for the uncorrected formation energy is -1.72 eV per formula unit. The calculation puts the energy relative to the lowest polymorph listed for this composition at 0.545 eV/atom. The space-group type is R-3m, No. 166. As for the calculated density: 7.19 g/cm3.

Geometry as POSCAR:
```
Nd2PdBr
1.0
3.504 0.000 0.000
1.752 3.034 0.000
1.752 1.011 10.314
Pd Nd Br
1 2 1
Cartesian
0.000 0.000 0.000
1.752 1.011 7.628
5.256 3.034 2.686
3.504 2.023 5.157
```

---

Entry 11:
VASP calculation (PBE-GGA) on a relaxed Nd6PdPt2Br3 crystal.

As for the calculated total energy: -5.4027 eV per atom. The value obtained for the uncorrected formation energy is -13.93 eV per formula unit. The space-group type is C2/m, No. 12. As for the calculated density: 7.40 g/cm3.

Geometry as POSCAR:
```
Nd6PdPt2Br3
1.0
4.232 0.000 0.000
0.000 9.147 -0.160
-2.116 -3.142 9.345
Nd Pt Br Pd
6 2 3 1
Cartesian
0.000 2.057 5.932
2.116 0.040 2.890
2.116 3.948 3.253
0.000 1.983 0.188
2.116 4.022 8.996
0.000 5.965 6.294
2.116 4.015 6.137
0.000 1.990 3.047
2.116 4.573 -0.080
2.116 -0.563 6.208
0.000 6.568 2.976
2.116 0.000 0.000
```

---

Entry 12:
VASP calculation (PBE-GGA) on a relaxed Nd8PdPt3Br4 crystal.

As for the calculated total energy: -5.4435 eV per atom. The value obtained for the uncorrected formation energy is -18.95 eV per formula unit. The space-group type is C2/m, No. 12. As for the calculated density: 7.50 g/cm3.

Geometry as POSCAR:
```
Nd8PdPt3Br4
1.0
-0.078 5.823 6.130
2.365 -6.399 6.109
5.010 1.016 -6.733
Nd Pt Br Pd
8 3 4 1
Cartesian
0.826 2.568 6.294
3.986 -2.632 2.551
6.432 0.761 2.252
6.471 -2.127 -0.789
0.865 -0.320 3.254
3.369 0.168 -0.116
3.311 3.072 2.955
3.928 0.273 5.622
3.648 0.220 2.753
3.688 -2.691 -0.312
1.143 -0.288 6.119
2.505 0.508 -3.366
2.466 3.420 -0.301
0.000 0.000 0.000
-0.039 2.912 3.065
1.183 -3.199 3.054
```

---

Entry 13:
VASP calculation (PBE-GGA) on a relaxed Nd8PdRh3Br4 crystal.

As for the calculated total energy: -5.5662 eV per atom. The value obtained for the uncorrected formation energy is -16.98 eV per formula unit. The space-group type is C2/m, No. 12. As for the calculated density: 6.73 g/cm3.

Geometry as POSCAR:
```
Nd8PdRh3Br4
1.0
-4.119 -6.320 -3.449
6.060 -0.191 -6.888
3.030 -0.726 7.687
Nd Br Rh Pd
8 4 3 1
Cartesian
4.150 -5.414 0.088
4.682 -1.969 -1.984
2.616 -5.101 -3.753
6.164 -2.324 1.774
0.821 -1.823 -2.738
2.354 -2.136 1.104
-1.193 -4.913 -4.424
0.288 -5.268 -0.665
0.000 0.000 0.000
1.515 -0.363 3.844
-0.545 -3.523 2.119
-2.060 -3.160 -1.724
4.545 -0.459 0.400
0.970 -3.255 -5.168
2.485 -3.619 -1.325
3.030 -0.095 -3.444
```

---

Entry 14:
VASP calculation (PBE-GGA) on a relaxed Nd4PdRhBr2 crystal.

As for the calculated total energy: -5.4097 eV per atom. The value obtained for the uncorrected formation energy is -8.32 eV per formula unit. The space-group type is P2/m, No. 10. As for the calculated density: 6.66 g/cm3.

Geometry as POSCAR:
```
Nd4PdRhBr2
1.0
4.171 0.000 0.000
0.000 8.163 -0.482
0.000 2.553 6.772
Pd Nd Br Rh
1 4 2 1
Cartesian
2.086 4.081 -0.241
2.086 6.387 1.515
0.000 7.634 4.799
4.171 3.083 1.490
2.086 4.329 4.775
2.086 1.277 3.386
0.000 2.553 6.772
0.000 5.358 3.145
```

---

Entry 15:
VASP calculation (PBE-GGA) on a relaxed Nd6PdRu2Br3 crystal.

As for the calculated total energy: -5.6761 eV per atom. The value obtained for the uncorrected formation energy is -10.74 eV per formula unit. The space-group type is C2/m, No. 12. As for the calculated density: 6.75 g/cm3.

Geometry as POSCAR:
```
Nd6PdRu2Br3
1.0
-1.875 4.835 -4.897
1.804 -6.601 -2.012
-7.510 -1.671 2.952
Ru Nd Pd Br
2 6 1 3
Cartesian
-0.649 1.022 -3.935
0.578 -2.789 -2.974
-5.434 -4.672 -2.383
-0.866 -2.745 -0.571
-6.714 -0.693 -3.387
-2.147 1.234 -1.575
-6.044 -1.840 0.416
-1.536 -1.598 -4.374
0.000 0.000 0.000
-3.790 -1.719 -1.979
-5.009 2.069 -2.935
-2.571 -5.507 -1.023
```

---

Entry 16:
VASP calculation (PBE-GGA) on a relaxed Nd4PdSe2Br crystal.

As for the calculated total energy: -5.5034 eV per atom. The value obtained for the uncorrected formation energy is -11.12 eV per formula unit. The space-group type is P2/m, No. 10. As for the calculated density: 7.03 g/cm3.

Geometry as POSCAR:
```
Nd4PdSe2Br
1.0
4.114 0.000 0.000
0.000 7.495 -0.238
0.000 2.557 6.979
Nd Br Se Pd
4 1 2 1
Cartesian
2.057 3.707 5.284
4.114 2.524 1.574
0.000 7.528 5.168
2.057 6.345 1.458
0.000 5.026 3.371
0.000 2.557 6.979
2.057 1.278 3.490
2.057 6.304 6.860
```

---

Entry 17:
VASP calculation (PBE-GGA) on a relaxed Nd3TePdBr crystal.

As for the calculated total energy: -5.1044 eV per atom. The value obtained for the uncorrected formation energy is -6.32 eV per formula unit. The space-group type is P2_1/m, No. 11. As for the calculated density: 6.97 g/cm3.

Geometry as POSCAR:
```
Nd3TePdBr
1.0
-1.820 -1.568 -3.427
-5.346 -3.170 4.290
-2.729 11.401 -3.766
Te Nd Br Pd
2 6 2 2
Cartesian
-2.606 2.261 -0.928
-7.290 4.402 -1.975
-5.545 3.020 0.286
-5.659 7.175 -1.555
-6.458 -2.713 0.837
-3.438 9.375 -3.741
-4.237 -0.512 -1.349
-4.351 3.643 -3.189
-6.939 0.355 -0.310
-2.957 6.308 -2.593
-6.049 8.129 -4.340
-3.847 -1.467 1.436
```

---

Entry 18:
VASP calculation (PBE-GGA) on a relaxed Pm2NdBr crystal.

As for the calculated total energy: -4.5497 eV per atom. The value obtained for the uncorrected formation energy is -2.26 eV per formula unit. The calculation puts the energy relative to the lowest polymorph listed for this composition at 0.000 eV/atom. The space-group type is R-3m, No. 166. As for the calculated density: 6.72 g/cm3.

Geometry as POSCAR:
```
Pm2NdBr
1.0
-2.840 -0.754 -2.315
-2.964 -1.917 1.239
-6.581 8.090 2.418
Nd Pm Br
1 2 1
Cartesian
-6.193 2.710 0.671
-2.979 1.129 0.266
-9.406 4.290 1.076
0.000 0.000 0.000
```

---

Entry 19:
VASP calculation (PBE-GGA) on a relaxed PmNdBr2 crystal.

As for the calculated total energy: -4.3517 eV per atom. The value obtained for the uncorrected formation energy is -4.54 eV per formula unit. The calculation puts the energy relative to the lowest polymorph listed for this composition at 0.000 eV/atom. The space-group type is R3m, No. 160. As for the calculated density: 6.76 g/cm3.

Geometry as POSCAR:
```
PmNdBr2
1.0
3.694 0.000 0.000
1.847 3.199 0.000
1.847 1.066 9.332
Br Pm Nd
2 1 1
Cartesian
1.847 1.066 2.318
1.847 1.066 7.021
3.694 2.133 0.033
3.694 2.133 4.627
```

---

Entry 20:
VASP calculation (PBE-GGA) on a relaxed PmNdBr2 crystal.

As for the calculated total energy: -4.2905 eV per atom. The value obtained for the uncorrected formation energy is -4.30 eV per formula unit. The calculation puts the energy relative to the lowest polymorph listed for this composition at 0.061 eV/atom. The space-group type is R-3m, No. 166. As for the calculated density: 5.97 g/cm3.

Geometry as POSCAR:
```
PmNdBr2
1.0
3.742 0.000 0.000
1.871 3.240 0.000
1.871 1.080 10.298
Nd Br Pm
1 2 1
Cartesian
0.000 0.000 0.000
5.613 3.240 3.005
1.871 1.080 7.293
3.742 2.160 5.149
```

---

Entry 21:
VASP calculation (PBE-GGA) on a relaxed PmNdBr4 crystal.

As for the calculated total energy: -4.3037 eV per atom. The value obtained for the uncorrected formation energy is -9.61 eV per formula unit. The calculation puts the energy relative to the lowest polymorph listed for this composition at 0.035 eV/atom. The space-group type is I-4m2, No. 119. As for the calculated density: 5.17 g/cm3.

Geometry as POSCAR:
```
PmNdBr4
1.0
5.852 0.000 0.000
0.000 5.852 0.000
-2.926 -2.926 5.713
Br Pm Nd
4 1 1
Cartesian
2.926 0.000 0.161
2.926 2.926 2.997
0.000 0.000 2.716
2.926 0.000 5.552
2.926 2.926 0.000
0.000 2.926 2.856
```

---

Entry 22:
VASP calculation (PBE-GGA) on a relaxed Pm2NdBr crystal.

As for the calculated total energy: -4.5168 eV per atom. The value obtained for the uncorrected formation energy is -2.13 eV per formula unit. The calculation puts the energy relative to the lowest polymorph listed for this composition at 0.033 eV/atom. The space-group type is R3m, No. 160. As for the calculated density: 6.63 g/cm3.

Geometry as POSCAR:
```
Pm2NdBr
1.0
-1.921 2.334 -2.211
-3.702 -0.412 -0.391
-3.464 7.124 7.357
Pm Nd Br
2 1 1
Cartesian
-3.110 5.680 5.525
-2.228 2.082 0.961
-4.544 4.525 2.380
-3.749 1.282 -1.733
```

---

Entry 23:
VASP calculation (PBE-GGA) on a relaxed PmNdBr crystal.

As for the calculated total energy: -4.4815 eV per atom. The value obtained for the uncorrected formation energy is -2.25 eV per formula unit. The space-group type is P3m1, No. 156. As for the calculated density: 6.37 g/cm3.

Geometry as POSCAR:
```
PmNdBr
1.0
3.830 0.000 0.000
-1.915 3.317 0.000
0.000 0.000 7.579
Pm Nd Br
1 1 1
Cartesian
0.000 0.000 0.156
0.000 2.211 4.916
1.915 1.106 2.507
```